Version one
A relaxed Ce2Ag2Hg3 crystal, computed with PBE.

a = 4.015 Å, b = 8.598 Å, c = 10.481 Å
α = 90.00°, β = 101.04°, γ = 90.00°
Last column: magnetic moment on the atom in μB.
Positions (direct):
Hg: 0.561 0.075 0.121  0.01
Hg: 0.439 0.575 0.879  0.01
Hg: 0.778 0.250 0.556  0.01
Hg: 0.561 0.425 0.121  0.01
Hg: 0.439 0.925 0.879  0.01
Hg: 0.222 0.750 0.444  0.01
Ce: 0.062 0.750 0.123  1.06
Ce: 0.840 0.750 0.681  0.75
Ce: 0.160 0.250 0.319  0.75
Ce: 0.938 0.250 0.877  1.06
Ag: 0.308 0.033 0.616  0.00
Ag: 0.308 0.467 0.616  0.00
Ag: 0.692 0.967 0.384  0.00
Ag: 0.692 0.533 0.384  0.00

Summary:
Space-group type   Cmcm (63)

Version two
A relaxed Ce2Ag2Hg3 crystal, computed with PBE.

a = 3.349 Å, b = 4.789 Å, c = 11.044 Å
α = 102.52°, β = 90.00°, γ = 90.00°
Last column: magnetic moment on the atom in μB.
Positions (direct):
Ce: 0.000 0.155 0.310  1.01
Ce: 0.000 0.845 0.690  1.01
Ag: 0.500 0.716 0.432  0.01
Ag: 0.500 0.284 0.568  0.01
Hg: 0.500 0.425 0.850  0.01
Hg: 0.500 0.575 0.150  0.01
Hg: 0.000 0.000 0.000  0.01

Summary:
Space-group type   Cmmm (65)

Which of them is the least stable? Correct choice: version two.

Version one
A relaxed Ce2Ag3Hg4 crystal, computed with PBE.

a = 6.314 Å, b = 8.549 Å, c = 8.682 Å
α = 90.00°, β = 111.32°, γ = 90.00°
Last column: magnetic moment on the atom in μB.
Positions (direct):
Ce: 0.878 0.426 0.756  0.95
Ce: 0.122 0.574 0.244  0.95
Ce: 0.378 0.074 0.756  0.95
Ce: 0.622 0.926 0.244  0.95
Hg: 0.708 0.750 0.916  0.00
Hg: 0.321 0.465 0.642  0.00
Hg: 0.179 0.965 0.358  0.00
Hg: 0.292 0.250 0.084  0.00
Hg: 0.679 0.535 0.358  0.00
Hg: 0.821 0.035 0.642  0.00
Hg: 0.792 0.250 0.084  0.00
Hg: 0.208 0.750 0.916  0.00
Ag: 0.530 0.750 0.560  0.00
Ag: 0.500 0.500 0.000  0.00
Ag: 0.970 0.250 0.440  0.00
Ag: 0.000 0.000 0.000  0.00
Ag: 0.030 0.750 0.560  0.00
Ag: 0.470 0.250 0.440  0.00

Summary:
Space-group type   Cmce (64)

Version two
A relaxed Ce2Ag3Hg4 crystal, computed with PBE.

a = 5.020 Å, b = 5.127 Å, c = 9.456 Å
α = 84.95°, β = 89.76°, γ = 60.70°
Last column: magnetic moment on the atom in μB.
Positions (direct):
Hg: 0.972 0.061 0.647  0.00
Hg: 0.028 0.939 0.353  0.00
Hg: 0.659 0.683 0.901  0.01
Hg: 0.341 0.317 0.099  0.01
Ag: 0.000 0.000 0.000  0.00
Ag: 0.647 0.711 0.578  0.00
Ag: 0.353 0.289 0.422  0.00
Ce: 0.683 0.631 0.235  0.77
Ce: 0.317 0.369 0.765  0.77

Summary:
Space-group type   P-1 (2)

Which of them is the least stable? Correct choice: version one.

Version one
A relaxed Ce2AgHg4 crystal, computed with PBE.

a = 5.156 Å, b = 5.156 Å, c = 8.825 Å
α = 73.02°, β = 73.02°, γ = 60.00°
Last column: magnetic moment on the atom in μB.
Positions (direct):
Hg: 0.621 0.621 0.138  0.01
Hg: 0.873 0.873 0.382  0.02
Hg: 0.379 0.379 0.862  0.01
Hg: 0.127 0.127 0.618  0.02
Ce: 0.746 0.746 0.762  0.88
Ce: 0.254 0.254 0.238  0.88
Ag: 0.000 0.000 0.000  0.01

Summary:
Space-group type   R-3m (166)

Version two
A relaxed Ce2AgHg4 crystal, computed with PBE.

a = 6.118 Å, b = 6.264 Å, c = 10.205 Å
α = 90.00°, β = 112.93°, γ = 90.00°
Last column: magnetic moment on the atom in μB.
Positions (direct):
Ag: 0.273 0.750 0.194  0.01
Ag: 0.727 0.250 0.806  0.01
Hg: 0.875 0.250 0.578  0.01
Hg: 0.316 0.514 0.708  0.01
Hg: 0.901 0.250 0.105  0.03
Hg: 0.125 0.750 0.422  0.01
Hg: 0.684 0.014 0.292  0.01
Hg: 0.099 0.750 0.895  0.03
Hg: 0.684 0.486 0.292  0.01
Hg: 0.316 0.986 0.708  0.01
Ce: 0.715 0.750 0.584  0.97
Ce: 0.285 0.250 0.416  0.97
Ce: 0.298 0.250 0.983  0.97
Ce: 0.702 0.750 0.017  0.97

Summary:
Space-group type   P2_1/m (11)

Which of them is the least stable? Correct choice: version one.